## Tb4YTm8 (GGA-PBE)

Data for a relaxed structure of Tb4YTm8.

Summary:
The calculation puts the total magnetization at 0.00 μB per formula unit. The calculation puts the density of states at the Fermi level at 17.56 states/eV per cell. The total energy is -57.720 eV/cell. The space group is R-3m. For the formation enthalpy at 0 K, the calculation gives 0.234 eV per atom.

```
Tb4YTm8
1.0
6.376 0.000 -3.440
-4.115 5.962 0.000
1.147 0.793 9.755
Tb Y Tm
4 1 8
direct
0.000 0.000 0.000 Tb
0.000 0.500 0.000 Tb
0.500 0.500 0.000 Tb
0.500 0.000 0.000 Tb
0.000 0.500 0.500 Y
0.566 0.783 0.349 Tm
0.434 0.217 0.651 Tm
0.499 0.249 0.306 Tm
0.943 0.193 0.694 Tm
0.501 0.751 0.694 Tm
0.943 0.751 0.694 Tm
0.057 0.249 0.306 Tm
0.057 0.807 0.306 Tm
```



## TbY3Tm (GGA-PBE)

Data for a relaxed structure of TbY3Tm.

Summary:
The calculation puts the total magnetization at 0.00 μB per formula unit. The calculation puts the density of states at the Fermi level at 17.46 states/eV per cell. The total energy is -56.975 eV/cell. The space group is P2_1/m. For the formation enthalpy at 0 K, the calculation gives 0.001 eV per atom.

```
TbY3Tm
1.0
-2.699 4.064 -2.803
1.226 -2.933 -5.432
-8.383 -3.173 3.471
Tb Y Tm
2 6 2
direct
0.250 0.270 0.201 Tb
0.750 0.730 0.799 Tb
0.750 0.537 0.401 Y
0.250 0.463 0.599 Y
0.750 0.332 0.999 Y
0.250 0.063 0.798 Y
0.250 0.668 0.001 Y
0.750 0.937 0.202 Y
0.250 0.869 0.401 Tm
0.750 0.131 0.599 Tm
```



## Tb6YTm2 (GGA-PBE)

Data for a relaxed structure of Tb6YTm2.

Summary:
The calculation puts the total magnetization at 0.00 μB per formula unit. The calculation puts the density of states at the Fermi level at 25.03 states/eV per cell. The total energy is -82.240 eV/cell. Its energy above the lowest structure with this stoichiometry is 0.99 eV/f.u. The space group is C2/c. For the formation enthalpy at 0 K, the calculation gives 0.230 eV per atom.

```
Tb6YTm2
1.0
6.143 0.943 0.913
2.841 10.153 0.064
2.841 0.393 10.145
Tb Y Tm
12 2 4
direct
0.408 0.676 0.430 Tb
0.092 0.570 0.324 Tb
0.592 0.324 0.570 Tb
0.908 0.430 0.676 Tb
0.812 0.994 0.421 Tb
0.688 0.579 0.006 Tb
0.188 0.006 0.579 Tb
0.312 0.421 0.994 Tb
0.252 0.849 0.937 Tb
0.248 0.063 0.151 Tb
0.748 0.151 0.063 Tb
0.752 0.937 0.849 Tb
0.250 0.179 0.821 Y
0.750 0.821 0.179 Y
0.200 0.630 0.756 Tm
0.300 0.244 0.370 Tm
0.800 0.370 0.244 Tm
0.700 0.756 0.630 Tm
```



## Tb5Y2Tm5 (GGA-PBE)

Data for a relaxed structure of Tb5Y2Tm5.

Summary:
The calculation puts the total magnetization at 0.00 μB per formula unit. The calculation puts the density of states at the Fermi level at 17.52 states/eV per cell. The total energy is -56.260 eV/cell. The space group is P-1. For the formation enthalpy at 0 K, the calculation gives 0.181 eV per atom.

```
Tb5Y2Tm5
1.0
-2.985 2.956 4.208
3.758 -4.572 0.580
8.732 11.603 -0.237
Tb Y Tm
5 2 5
direct
0.500 0.000 0.500 Tb
0.718 0.358 0.076 Tb
0.843 0.487 0.330 Tb
0.157 0.513 0.670 Tb
0.282 0.642 0.924 Tb
0.854 0.931 0.786 Y
0.146 0.069 0.214 Y
0.177 0.261 0.438 Tm
0.557 0.262 0.819 Tm
0.443 0.738 0.181 Tm
0.823 0.739 0.562 Tm
0.000 0.000 0.000 Tm
```